The following is a DFT calculation (PBE) of crystalline Ba6LiCd at its relaxed geometry.

Computed properties:
space group: No. 139

Lattice parameters (Å, degrees): 6.1615 6.1615 11.7712 74.83 74.83 90.00
With the nearest neighbours (Å) after each atom.
Fractional coordinates of all 8 atoms:
Ba1 0.5936 0.0936 0.8128  2 Cd 3.70, 2 Li 3.70, 1 Ba 4.09
Ba2 0.2511 0.2511 0.4978  12 Ba 4.36-4.62
Ba3 0.4064 0.9064 0.1872  2 Cd 3.70, 2 Li 3.70, 1 Ba 4.09
Ba4 0.0936 0.5936 0.8128  2 Li 3.70, 2 Cd 3.70, 1 Ba 4.09
Ba5 0.9064 0.4064 0.1872  2 Li 3.70, 2 Cd 3.70, 1 Ba 4.09
Ba6 0.7489 0.7489 0.5022  12 Ba 4.36-4.62
Li1 0.5000 0.5000 0.0000  8 Ba 3.70
Cd1 0.0000 0.0000 0.0000  8 Ba 3.70

=====

The following is a DFT calculation (PBE) of crystalline BaLi2Cd9 at its relaxed geometry.

Computed properties:
space group: No. 141

Lattice parameters (Å, degrees): 7.7392 9.3423 9.3423 80.12 65.53 65.53
With the nearest neighbours (Å) after each atom.
Fractional coordinates of all 24 atoms:
Ba1 0.2500 0.5000 0.5000  18 Cd 3.73-3.88, 4 Li 4.18
Ba2 0.5000 0.0000 0.0000  18 Cd 3.73-3.88, 4 Li 4.18
Li1 0.8750 0.2500 0.7500  10 Cd 2.89-3.16
Li2 0.8750 0.2500 0.2500  10 Cd 2.89-3.16
Li3 0.8750 0.7500 0.2500  10 Cd 2.89-3.16
Li4 0.3750 0.7500 0.7500  10 Cd 2.89-3.16
Cd1 0.0151 0.9177 0.6751  2 Li 2.89-2.94, 6 Cd 2.92-3.20
Cd2 0.1422 0.4177 0.1751  2 Li 2.89-2.94, 6 Cd 2.92-3.20
Cd3 0.4401 0.4177 0.8249  2 Li 2.89-2.94, 6 Cd 2.92-3.20
Cd4 0.7500 0.5000 0.5000  4 Li 3.16, 8 Cd 3.20
Cd5 0.4401 0.8249 0.4177  2 Li 2.89-2.94, 6 Cd 2.92-3.20
Cd6 0.6827 0.1751 0.5823  2 Li 2.89-2.94, 6 Cd 2.92-3.20
Cd7 0.6827 0.5823 0.1751  2 Li 2.89-2.94, 6 Cd 2.92-3.20
Cd8 0.1422 0.1751 0.4177  2 Li 2.89-2.94, 6 Cd 2.92-3.20
Cd9 0.0673 0.3249 0.9177  2 Li 2.89-2.94, 6 Cd 2.92-3.20
Cd10 0.3099 0.6751 0.0823  2 Li 2.89-2.94, 6 Cd 2.92-3.20
Cd11 0.6078 0.0823 0.3249  2 Li 2.89-2.94, 6 Cd 2.92-3.20
Cd12 0.6078 0.3249 0.0823  2 Li 2.89-2.94, 6 Cd 2.92-3.20
Cd13 0.0673 0.9177 0.3249  2 Li 2.89-2.94, 6 Cd 2.92-3.20
Cd14 0.0000 0.0000 0.0000  4 Li 3.16, 8 Cd 3.20
Cd15 0.7349 0.8249 0.5823  2 Li 2.89-2.94, 6 Cd 2.92-3.20
Cd16 0.3099 0.0823 0.6751  2 Li 2.89-2.94, 6 Cd 2.92-3.20
Cd17 0.7349 0.5823 0.8249  2 Li 2.89-2.94, 6 Cd 2.92-3.20
Cd18 0.0151 0.6751 0.9177  2 Li 2.89-2.94, 6 Cd 2.92-3.20

=====

The following is a DFT calculation (PBE) of crystalline Ba2LiCd at its relaxed geometry.

Computed properties:
space group: No. 71

Lattice parameters (Å, degrees): 8.1221 8.1221 8.1221 151.59 57.33 131.31
With the nearest neighbours (Å) after each atom.
Fractional coordinates of all 4 atoms:
Cd1 0.5000 0.0000 0.5000  2 Ba 3.39
Ba1 0.2619 0.0000 0.2619  1 Cd 3.39, 1 Li 3.73
Ba2 0.7381 0.0000 0.7381  1 Cd 3.39, 1 Li 3.73
Li1 0.0000 0.0000 0.0000  2 Ba 3.73, 4 Cd 3.90, 2 Li 3.99

=====

The following is a DFT calculation (PBE) of crystalline Ba2LiCd at its relaxed geometry.

Computed properties:
space group: No. 122

Lattice parameters (Å, degrees): 5.4583 5.4583 12.5286 77.42 77.42 90.00
With the nearest neighbours (Å) after each atom.
Fractional coordinates of all 8 atoms:
Ba1 0.8750 0.8837 0.7500  2 Cd 3.53, 2 Li 3.57, 4 Ba 3.79-3.93
Ba2 0.1163 0.6250 0.2500  2 Cd 3.53, 2 Li 3.57, 4 Ba 3.79-3.93
Ba3 0.3750 0.3663 0.7500  2 Cd 3.53, 2 Li 3.57, 4 Ba 3.79-3.93
Ba4 0.6337 0.1250 0.2500  2 Cd 3.53, 2 Li 3.57, 4 Ba 3.79-3.93
Li1 0.5000 0.5000 0.0000  4 Ba 3.57, 4 Cd 3.86
Li2 0.2500 0.7500 0.5000  4 Ba 3.57, 4 Cd 3.86
Cd1 0.7500 0.2500 0.5000  4 Ba 3.53, 4 Li 3.86
Cd2 0.0000 0.0000 0.0000  4 Ba 3.53, 4 Li 3.86

=====

The following is a DFT calculation (PBE) of crystalline BaLi2Cd9 at its relaxed geometry.

Computed properties:
space group: No. 191

Lattice parameters (Å, degrees): 4.2535 8.8702 8.8702 120.00 90.00 90.00
With the nearest neighbours (Å) after each atom.
Fractional coordinates of all 12 atoms:
Li1 0.0000 0.6667 0.3333  3 Cd 2.56
Li2 0.0000 0.3333 0.6667  3 Cd 2.56
Cd1 0.5000 0.7962 0.2038  2 Li 2.91, 6 Cd 3.13-3.15
Cd2 0.5000 0.5923 0.7962  2 Li 2.91, 6 Cd 3.13-3.15
Cd3 0.5000 0.4077 0.2038  2 Li 2.91, 6 Cd 3.13-3.15
Cd4 0.0000 0.5000 0.5000  2 Li 2.56
Cd5 0.5000 0.7962 0.5923  2 Li 2.91, 6 Cd 3.13-3.15
Cd6 0.0000 0.0000 0.5000  2 Li 2.56
Cd7 0.5000 0.2038 0.7962  2 Li 2.91, 6 Cd 3.13-3.15
Cd8 0.5000 0.2038 0.4077  2 Li 2.91, 6 Cd 3.13-3.15
Cd9 0.0000 0.5000 0.0000  2 Li 2.56
Ba1 0.0000 0.0000 0.0000  12 Cd 3.79

=====

The following is a DFT calculation (PBE) of crystalline BaLi2Cd at its relaxed geometry.

Computed properties:
space group: No. 119

Lattice parameters (Å, degrees): 5.9062 5.9062 5.9062 128.26 128.26 76.20
With the nearest neighbours (Å) after each atom.
Fractional coordinates of all 4 atoms:
Li1 0.0000 0.0000 0.0000  4 Li 3.47, 4 Cd 3.47, 4 Ba 3.64
Li2 0.2500 0.7500 0.5000  4 Ba 3.47, 4 Li 3.47, 4 Cd 3.64
Cd1 0.7500 0.2500 0.5000  4 Ba 3.47, 8 Li 3.47-3.64
Ba1 0.5000 0.5000 0.0000  4 Cd 3.47, 8 Li 3.47-3.64

=====

Ordered formation energy results: -0.07, -0.24, 0.36, 0.22, -0.15, -0.05; unit eV/atom.
Ordered size of the total moment results: 0.00, 0.00, 0.00, 0.00, 0.00, 0.00; unit Bohr magnetons per cell.
Ordered electronic total energy results: -1.86, -1.41, -1.31, -1.45, -1.32, -1.72; unit eV per atom.